[1]
Material: KNaPb
Method: DFT, PBE-GGA
State: optimized geometry

```
3
Lattice="4.132 0.000 0.000 0.000 4.132 0.000 -2.066 -2.066 6.501" Properties=species:S:1:pos:R:3 pbc="T T T"
Pb 0.000 0.000 3.976
Na 2.066 2.066 5.458
K 2.066 2.066 1.617
```

Computed properties:
Formation energy (eV per atom): -0.083
Total moment (μB per cell): 0.00
D(E_F) (states/eV/f.u.): 1.45

[2]
Material: K5Na4Pb
Method: DFT, PBE-GGA
State: optimized geometry

```
10
Lattice="-4.790 3.031 -1.419 -3.848 -6.214 -0.285 -0.775 -1.098 12.305" Properties=species:S:1:pos:R:3 pbc="T T T"
K -1.741 -1.536 2.595
K -4.402 -4.390 5.484
K -5.010 0.109 5.117
K -4.319 -1.592 -0.852
K -7.672 -2.745 8.006
Na -6.429 -3.553 2.081
Na -5.956 0.781 9.746
Na -2.984 -0.728 8.520
Na -3.456 -5.062 0.855
Pb -2.395 1.515 -0.709
```

Computed properties:
Formation energy (eV per atom): -0.024
Total moment (μB per cell): 0.00
D(E_F) (states/eV/f.u.): 5.87

[3]
Material: K2Na2Pb
Method: DFT, PBE-GGA
State: optimized geometry

```
10
Lattice="9.489 0.000 0.000 0.000 9.489 0.000 0.000 0.000 4.815" Properties=species:S:1:pos:R:3 pbc="T T T"
Pb 0.000 0.000 0.000
Pb 4.744 4.744 0.000
Na 1.634 6.378 2.407
Na 6.378 7.855 2.407
Na 7.855 3.111 2.407
Na 3.111 1.634 2.407
K 3.386 8.130 0.000
K 8.130 6.103 0.000
K 6.103 1.359 0.000
K 1.359 3.386 0.000
```

Computed properties:
Formation energy (eV per atom): 0.141
Total moment (μB per cell): 0.00
D(E_F) (states/eV/f.u.): 3.58

[4]
Material: KNaPb2
Method: DFT, PBE-GGA
State: optimized geometry

```
4
Lattice="3.972 0.000 0.000 0.000 3.972 0.000 0.000 0.000 8.328" Properties=species:S:1:pos:R:3 pbc="T T T"
Pb 0.000 0.000 6.690
Pb 0.000 0.000 1.638
Na 1.986 1.986 0.000
K 1.986 1.986 4.164
```

Computed properties:
Formation energy (eV per atom): -0.124
Total moment (μB per cell): 0.00
D(E_F) (states/eV/f.u.): 2.14

- What is the formation energy in the first record?
  -0.083 eV per atom